A plane-wave DFT calculation with PBE-GGA was carried out for an optimized crystal structure of SbHPb.

Calculated values
Symmetry ... P-1
Distance to the lowest polymorph of the same formula ... 0.131 eV per atom
Fermi-level density of states ... 1.38 states/eV/f.u.

```
SbHPb
1.0
-0.4836 -3.2247 0.9217
3.3403 -1.7574 -4.3910
6.0501 1.7909 3.8959
Sb H Pb
2 2 2
Direct
0.1321 0.7499 0.7439
0.8679 0.2501 0.2561
0.7410 0.2500 0.9990
0.2590 0.7500 0.0010
0.3966 0.7501 0.3019
0.6034 0.2499 0.6981
```

---

A plane-wave DFT calculation with PBE-GGA was carried out for an optimized crystal structure of Li2Ce2HoSn2.

Calculated values
Symmetry ... R-3m
Fermi-level density of states ... 11.09 states/eV/f.u.
Formation energy from the elements ... -0.416 eV per atom

```
Li2Ce2HoSn2
1.0
-0.2506 4.6161 -0.0395
-4.0903 2.0884 -0.5294
-2.5958 2.2489 8.7417
Li Ce Ho Sn
2 2 1 2
Direct
0.5928 0.5928 0.2215
0.4072 0.4072 0.7785
0.1426 0.1426 0.5723
0.8574 0.8574 0.4277
0.0000 0.0000 0.0000
0.7327 0.7327 0.8019
0.2673 0.2673 0.1981
```

---

A plane-wave DFT calculation with PBE-GGA was carried out for an optimized crystal structure of CeHoCdPb.

Calculated values
Symmetry ... F-43m
Fermi-level density of states ... 9.45 states/eV/f.u.
Formation energy from the elements ... -0.317 eV per atom

```
CeHoCdPb
1.0
-4.2850 -2.8163 1.7143
-0.4551 -5.2454 -1.2289
0.5915 -3.7415 3.8578
Pb Ho Ce Cd
1 1 1 1
Direct
0.2500 0.2500 0.2500
0.5000 0.5000 0.5000
0.0000 0.0000 0.0000
0.7500 0.7500 0.7500
```

---

A plane-wave DFT calculation with PBE-GGA was carried out for an optimized crystal structure of Sr5Cd2Au2.

Calculated values
Symmetry ... Cmce
Fermi-level density of states ... 6.84 states/eV/f.u.
Formation energy from the elements ... -0.477 eV per atom

```
Sr5Cd2Au2
1.0
-3.8575 6.0371 4.5318
3.6039 -3.0658 7.1518
4.8476 8.2336 1.0867
Sr Cd Au
10 4 4
Direct
0.0000 0.0000 0.0000
0.5000 0.5000 0.0000
0.4576 0.1710 0.7414
0.8010 0.8290 0.7414
0.3010 0.6710 0.7414
0.9576 0.3290 0.7414
0.5424 0.8290 0.2586
0.1990 0.1710 0.2586
0.6990 0.3290 0.2586
0.0424 0.6710 0.2586
0.2098 0.0000 0.5805
0.7098 0.5000 0.5805
0.7902 0.0000 0.4195
0.2902 0.5000 0.4195
0.1237 0.3749 0.0000
0.8763 0.6251 0.0000
0.3763 0.8749 0.0000
0.6237 0.1251 0.0000
```

---

A plane-wave DFT calculation with PBE-GGA was carried out for an optimized crystal structure of Nd4Ho3Sc4.

Calculated values
Symmetry ... P-1
Fermi-level density of states ... 19.14 states/eV/f.u.
Formation energy from the elements ... 0.084 eV per atom

```
Nd4Ho3Sc4
1.0
-3.3397 0.2878 -0.7763
-1.3234 -2.1822 4.8820
-2.5915 14.8715 9.0495
Nd Ho Sc
4 3 4
Direct
0.5916 0.0913 0.8180
0.2694 0.2693 0.4613
0.7306 0.7308 0.5387
0.4085 0.9087 0.1820
0.1364 0.6359 0.7287
0.8636 0.3641 0.2713
0.0000 0.0000 0.0000
0.5450 0.5443 0.9120
0.4550 0.4557 0.0880
0.3183 0.8190 0.3617
0.6817 0.1810 0.6383
```

---

A plane-wave DFT calculation with PBE-GGA was carried out for an optimized crystal structure of Ba2TeOs.

Calculated values
Symmetry ... P4/mmm
DFT total energy ... -4.47 eV/atom
Fermi-level density of states ... 5.42 states/eV/f.u.

```
Ba2TeOs
1.0
9.0764 0.1563 0.3014
-3.6472 4.3745 -0.3313
1.7820 1.7402 3.3551
Ba Os Te
2 1 1
Direct
0.0000 0.0000 0.0000
0.5000 0.0000 0.5000
0.0000 0.5000 0.5000
0.5000 0.5000 0.0000
```

---

Q: Number 1 is which compound?
A: SbHPb

---

Q: What is the formula in the second record?
A: Li2Ce2HoSn2